Compound: Sr2Si4Pd3Pt
Source: Alexandria
Functional: PBE-GGA
Structure: relaxed

Total moment ... 0.000 μB per cell
Formation energy without anion corrections ... -760 meV/atom

Cell: 4.2710 4.2710 10.3006 Å, 90.00 90.00 90.00°
Last column: nearest neighbours and their distance in Å.
Atoms (fractional coordinates):
1 Sr 0.5000 0.0000 0.2447  6 Pd 3.26-3.39, 8 Si 3.30-3.31, 2 Pt 3.39
2 Sr 0.0000 0.5000 0.7553  6 Pd 3.26-3.39, 8 Si 3.30-3.31, 2 Pt 3.39
3 Si 0.5000 0.5000 0.0000  4 Pd 2.50
4 Si 0.0000 0.0000 0.0000  4 Pd 2.50
5 Si 0.5000 0.0000 0.6244  3 Pd 2.49-2.57, 2 Pt 2.49
6 Si 0.0000 0.5000 0.3756  3 Pd 2.49-2.57, 2 Pt 2.49
7 Pd 0.0000 0.0000 0.5000  4 Si 2.49
8 Pd 0.5000 0.0000 0.8737  5 Si 2.50-2.57
9 Pd 0.0000 0.5000 0.1263  5 Si 2.50-2.57
10 Pt 0.5000 0.5000 0.5000  4 Si 2.49

***

Compound: Th3Bi2Rh
Source: Alexandria
Functional: PBE-GGA
Structure: relaxed

Total moment ... 0.000 μB per cell
DFT formation energy ... -0.65 eV/atom

Cell: 7.6511 7.5584 7.9792 Å, 80.57 71.11 59.59°
Last column: nearest neighbours and their distance in Å.
Atoms (fractional coordinates):
1 Th 0.4376 0.6331 0.7769  2 Rh 2.90-2.99, 2 Bi 3.23
2 Th 0.2969 0.0000 0.2092  2 Rh 2.89, 2 Bi 3.18-3.23
3 Th 0.5624 0.3669 0.2231  2 Rh 2.90-2.99, 2 Bi 3.23
4 Th 0.9293 0.6331 0.2231  2 Rh 2.90-2.99, 2 Bi 3.23
5 Th 0.0707 0.3669 0.7769  2 Rh 2.90-2.99, 2 Bi 3.23
6 Th 0.7031 0.0000 0.7908  2 Rh 2.89, 2 Bi 3.18-3.23
7 Bi 0.0000 0.0000 0.0000  6 Th 3.23
8 Bi 0.5000 0.0000 0.5000  6 Th 3.18-3.38
9 Bi 0.1501 0.6998 0.5000  6 Th 3.23-3.41
10 Bi 0.8499 0.3002 0.5000  6 Th 3.23-3.41
11 Rh 0.6690 0.6620 0.0000  6 Th 2.89-2.99
12 Rh 0.3310 0.3380 0.0000  6 Th 2.89-2.99

***

Compound: Ho6Zn2Pd
Source: Alexandria
Functional: PBE-GGA
Structure: relaxed

Excess energy over the best structure of this formula in the dataset ... 160 meV per atom
Total moment ... 0.000 μB per cell
DFT formation energy ... -0.15 eV/atom

Cell: 4.9295 6.9351 8.4600 Å, 114.20 106.90 90.00°
Last column: nearest neighbours and their distance in Å.
Atoms (fractional coordinates):
1 Ho 0.1632 0.4120 0.3264  1 Pd 2.95, 3 Zn 3.02
2 Ho 0.8368 0.0856 0.6736  1 Pd 2.95, 3 Zn 3.02
3 Ho 0.8368 0.5880 0.6736  1 Pd 2.95, 3 Zn 3.02
4 Ho 0.5000 0.2471 0.0000  2 Pd 3.00, 2 Zn 3.01
5 Ho 0.1632 0.9144 0.3264  1 Pd 2.95, 3 Zn 3.02
6 Ho 0.5000 0.7529 0.0000  2 Pd 3.00, 2 Zn 3.01
7 Zn 0.6673 0.6672 0.3345  8 Ho 3.01-3.02
8 Zn 0.3327 0.3328 0.6655  8 Ho 3.01-3.02
9 Pd 0.0000 0.0000 0.0000  8 Ho 2.95-3.00

***

Total DFT energy (no corrections) (computed, eV/atom): -5.4277 -6.8830 -4.0640